## PuScBe2Si2 (GGA-PBE)

Data for a geometry-optimized PuScBe2Si2 structure.

Lattice parameters (Å, degrees): 3.824 3.824 7.716 90.00 90.00 120.00
Sites, in units of the cell vectors:
Pu 0.000 0.000 0.000
Sc 0.000 0.000 0.500
Be 0.333 0.667 0.734
Be 0.667 0.333 0.266
Si 0.333 0.667 0.265
Si 0.667 0.333 0.735

Values from the calculation:
- uncorrected energy (eV per cell) = -41.8
- total magnetization (μB/f.u.) = 5.58